# TaSbMo3

A relaxed structure of TaSbMo3 (PBEsol, the Alexandria database).

Cell and atoms, written as POSCAR:
```
TaSbMo3
1.0
4.745 0.000 0.000
0.000 4.745 0.000
0.000 0.000 4.745
Ta Sb Mo
1 1 3
direct
0.000 0.000 0.000
0.500 0.500 0.500
0.000 0.000 0.500
0.000 0.500 0.000
0.500 0.000 0.000
```

Output
The value obtained for the density of states at the Fermi level is 7.4 states/eV per cell. For the energy relative to the elements, uncorrected, the calculation gives 1794.7 meV per atom. The density is 9.2 g/cm3. The spin magnetization comes out at 0.35 μB/atom.